This record from the Alexandria database describes crystalline SrLiMn2 at its relaxed geometry. The functional is PBEsol.

Cell and atoms, written as POSCAR:
```
SrLiMn2
1.0
-1.9677 2.0831 -1.7535
-2.4473 -2.3015 0.0121
-2.3069 2.4822 5.5374
Mn Li Sr
2 1 1
Direct
0.0000 0.0000 0.6444
0.0000 0.0000 0.3556
0.5000 0.5000 0.5000
0.5000 0.5000 0.0000
```

Results
Symmetry: P4/mmm
Total magnetic moment in μB/f.u.: 2.2
Calculated total energy in hartree per atom: -0.180
DFT formation energy in eV/atom: 0.93

---

This record from the Alexandria database describes crystalline TlFeN2 at its relaxed geometry. The functional is PBEsol.

Cell and atoms, written as POSCAR:
```
TlFeN2
1.0
-1.1251 -1.6748 -3.3705
2.3481 -2.5958 -1.7831
-0.9754 -3.8045 -0.0731
Tl N Fe
1 2 1
Direct
0.5000 0.5000 0.5000
0.7500 0.7500 0.7500
0.2500 0.2500 0.2500
0.0000 0.0000 0.0000
```

Results
Symmetry: Fm-3m
Distance to the lowest polymorph of the same formula in meV per atom: 425
Total magnetic moment in μB/f.u.: 0.9
Calculated total energy in hartree per atom: -0.208

---

This record from the Alexandria database describes crystalline YAgO3 at its relaxed geometry. The functional is PBEsol.

Cell and atoms, written as POSCAR:
```
YAgO3
1.0
6.3888 0.0000 0.0000
-3.1944 5.5328 0.0000
0.0000 0.0000 11.4256
Y Ag O
6 6 18
Direct
0.3333 0.6667 0.2661
0.0000 0.0000 0.2273
0.6667 0.3333 0.7661
0.0000 0.0000 0.7273
0.3333 0.6667 0.7661
0.6667 0.3333 0.2661
0.3325 0.3325 0.4988
0.6675 0.0000 0.4988
0.0000 0.6675 0.4988
0.6675 0.6675 0.9988
0.3325 0.0000 0.9988
0.0000 0.3325 0.9988
0.3110 0.3110 0.3264
0.6667 0.3333 0.4742
0.0000 0.3557 0.1716
0.0000 0.3110 0.8264
0.3557 0.3557 0.6716
0.3333 0.6667 0.4742
0.6443 0.6443 0.1716
0.0000 0.6890 0.3264
0.6890 0.0000 0.3264
0.0000 0.6443 0.6716
0.6443 0.0000 0.6716
0.0000 0.0000 0.5267
0.3333 0.6667 0.9742
0.6890 0.6890 0.8264
0.0000 0.0000 0.0267
0.6667 0.3333 0.9742
0.3110 0.0000 0.8264
0.3557 0.0000 0.1716
```

Results
Symmetry: P6_3cm
Total magnetic moment in μB/f.u.: 0.0
Calculated total energy in hartree per atom: -0.257

---

This record from the Alexandria database describes crystalline CaTa2Fe at its relaxed geometry. The functional is PBEsol.

Cell and atoms, written as POSCAR:
```
CaTa2Fe
1.0
3.0578 0.0000 0.0000
1.5289 2.6481 0.0000
1.5289 0.8827 9.1715
Ta Ca Fe
2 1 1
Direct
0.7303 0.7303 0.8090
0.2697 0.2697 0.1910
0.5000 0.5000 0.5000
0.0000 0.0000 0.0000
```

Results
Symmetry: R-3m
Distance to the lowest polymorph of the same formula in meV per atom: 174
Total magnetic moment in μB/f.u.: 0.0
Calculated total energy in hartree per atom: -0.311
DFT formation energy in eV/atom: 0.58

---

Q: Look up the total magnetic moment of the first one.
A: 2.2 μB/f.u.

---

Q: Number 1 is which compound?
A: SrLiMn2

---

Q: Which of these has the highest calculated total energy?
A: SrLiMn2